Entry 1:
# Sm2EuTl PBE optimized geometry
data_Sm2EuTl
_chemical_formula_sum 'Sm2 Eu1 Tl1'
_symmetry_space_group_name_H-M 'P 4/m m m'
_symmetry_Int_Tables_number 123
_symmetry_space_group_name_Hall '-P 4 2'
_cell_length_a 5.038
_cell_length_b 5.038
_cell_length_c 4.888
_cell_angle_alpha 90.00
_cell_angle_beta 90.00
_cell_angle_gamma 90.00
loop_
_atom_site_label
_atom_site_fract_x
_atom_site_fract_y
_atom_site_fract_z
_atom_site_occupancy
Sm1 0.000 0.500 0.000 1
Eu1 0.000 0.000 0.500 1
Tl1 0.500 0.500 0.500 1
# D(E_F) (states/eV per cell): 4.7
# Crystal system: tetragonal
# Volume (Å³/cell): 124.1
# Total magnetization (μB per formula unit): 7.400
# Excess energy over the best structure of this formula in the dataset (eV per formula unit): 0.00
# E_tot (eV per cell): -22.729
# Energy of formation from the pure elements (eV per atom): -0.16


Entry 2:
# Tb2Ga2SnIr5 PBE optimized geometry
data_Tb2Ga2SnIr5
_chemical_formula_sum 'Tb4 Ga4 Sn2 Ir10'
_symmetry_space_group_name_H-M 'P 4/m b m'
_symmetry_Int_Tables_number 127
_symmetry_space_group_name_Hall '-P 4 2ab'
_cell_length_a 9.769
_cell_length_b 9.769
_cell_length_c 3.686
_cell_angle_alpha 90.00
_cell_angle_beta 90.00
_cell_angle_gamma 90.00
loop_
_atom_site_label
_atom_site_fract_x
_atom_site_fract_y
_atom_site_fract_z
_atom_site_occupancy
Tb1 0.175 0.325 0.000 1
Ga1 0.123 0.623 0.000 1
Sn1 0.000 0.000 0.000 1
Ir1 0.000 0.500 0.500 1
Ir2 0.068 0.791 0.500 1
# D(E_F) (states/eV per cell): 6.3
# Crystal system: tetragonal
# Volume (Å³/cell): 351.8
# Total magnetization (μB per formula unit): 0.000
# E_tot (eV per cell): -140.030
# Energy of formation from the pure elements (eV per atom): -0.64


Entry 3:
# BHW2 PBE optimized geometry
data_BHW2
_chemical_formula_sum 'B4 H4 W8'
_symmetry_space_group_name_H-M 'I -4 2 d'
_symmetry_Int_Tables_number 122
_symmetry_space_group_name_Hall 'I -4 2bw'
_cell_length_a 4.625
_cell_length_b 4.625
_cell_length_c 8.726
_cell_angle_alpha 90.00
_cell_angle_beta 90.00
_cell_angle_gamma 90.00
loop_
_atom_site_label
_atom_site_fract_x
_atom_site_fract_y
_atom_site_fract_z
_atom_site_occupancy
B1 0.000 0.000 0.000 1
H1 0.000 0.000 0.500 1
W1 0.207 0.250 0.625 1
# D(E_F) (states/eV per cell): 11.3
# Crystal system: tetragonal
# Volume (Å³/cell): 186.7
# Total magnetization (μB per formula unit): 0.000
# Excess energy over the best structure of this formula in the dataset (eV per formula unit): 1.87
# E_tot (eV per cell): -132.473


Entry 4:
# Be3In2Au9 PBE optimized geometry
data_Be3In2Au9
_chemical_formula_sum 'Be12 In8 Au36'
_symmetry_space_group_name_H-M 'C 1 2/c 1'
_symmetry_Int_Tables_number 15
_symmetry_space_group_name_Hall '-C 2yc'
_cell_length_a 12.832
_cell_length_b 7.582
_cell_length_c 10.886
_cell_angle_alpha 90.00
_cell_angle_beta 115.31
_cell_angle_gamma 90.00
loop_
_atom_site_label
_atom_site_fract_x
_atom_site_fract_y
_atom_site_fract_z
_atom_site_occupancy
Be1 0.086 0.247 0.002 1
Be2 0.250 0.250 0.500 1
In1 0.167 0.081 0.747 1
Au1 0.000 0.326 0.750 1
Au2 0.060 0.089 0.435 1
Au3 0.108 0.416 0.580 1
Au4 0.126 0.291 0.255 1
Au5 0.227 0.420 0.942 1
# D(E_F) (states/eV per cell): 16.6
# Crystal system: monoclinic
# Volume (Å³/cell): 957.6
# Total magnetization (μB per formula unit): 0.000
# E_tot (eV per cell): -189.620
# Energy of formation from the pure elements (eV per atom): -0.09


Entry 5:
# Ac4La3Pr4 PBE optimized geometry
data_Ac4La3Pr4
_chemical_formula_sum 'Ac8 La6 Pr8'
_symmetry_space_group_name_H-M 'I m m m'
_symmetry_Int_Tables_number 71
_symmetry_space_group_name_Hall '-I 2 2'
_cell_length_a 3.759
_cell_length_b 12.010
_cell_length_c 19.833
_cell_angle_alpha 90.00
_cell_angle_beta 90.00
_cell_angle_gamma 90.00
loop_
_atom_site_label
_atom_site_fract_x
_atom_site_fract_y
_atom_site_fract_z
_atom_site_occupancy
Ac1 0.000 0.000 0.203 1
Ac2 0.000 0.224 0.500 1
La1 0.000 0.000 0.000 1
La2 0.000 0.500 0.107 1
Pr1 0.000 0.239 0.325 1
# D(E_F) (states/eV per cell): 35.4
# Crystal system: orthorhombic
# Volume (Å³/cell): 895.5
# Total magnetization (μB per formula unit): 0.000
# E_tot (eV per cell): -97.178
# Energy of formation from the pure elements (eV per atom): 0.16


Entry 6:
# DyHo3Ru2 PBE optimized geometry
data_DyHo3Ru2
_chemical_formula_sum 'Dy2 Ho6 Ru4'
_symmetry_space_group_name_H-M 'P m c 21'
_symmetry_Int_Tables_number 26
_symmetry_space_group_name_Hall 'P 2c -2'
_cell_length_a 4.330
_cell_length_b 8.803
_cell_length_c 7.465
_cell_angle_alpha 90.00
_cell_angle_beta 90.00
_cell_angle_gamma 90.00
loop_
_atom_site_label
_atom_site_fract_x
_atom_site_fract_y
_atom_site_fract_z
_atom_site_occupancy
Dy1 0.000 0.084 0.000 1
Ho1 0.000 0.320 0.628 1
Ho2 0.500 0.181 0.333 1
Ho3 0.500 0.416 0.961 1
Ru1 0.000 0.363 0.234 1
Ru2 0.500 0.138 0.728 1
# D(E_F) (states/eV per cell): 5.2
# Crystal system: orthorhombic
# Volume (Å³/cell): 284.6
# Total magnetization (μB per formula unit): 0.000
# Excess energy over the best structure of this formula in the dataset (eV per formula unit): 0.00
# E_tot (eV per cell): -78.073
# Energy of formation from the pure elements (eV per atom): -0.36


Entry 7:
# DyYSe2O PBE optimized geometry
data_DyYSe2O
_chemical_formula_sum 'Dy2 Y2 Se4 O2'
_symmetry_space_group_name_H-M 'P 4/n m m'
_symmetry_Int_Tables_number 129
_cell_length_a 3.968
_cell_length_b 3.968
_cell_length_c 14.573
_cell_angle_alpha 90.00
_cell_angle_beta 90.00
_cell_angle_gamma 90.00
loop_
_symmetry_equiv_pos_as_xyz
'x,y,z'
'-x,-y,-z'
'-y+1/2,x,z'
'y+1/2,-x,-z'
'-x+1/2,-y+1/2,z'
'x+1/2,y+1/2,-z'
'y,-x+1/2,z'
'-y,x+1/2,-z'
'x+1/2,-y,-z'
'-x+1/2,y,z'
'-y,-x,-z'
'y,x,z'
'-x,y+1/2,-z'
'x,-y+1/2,z'
'y+1/2,x+1/2,-z'
'-y+1/2,-x+1/2,z'
loop_
_atom_site_label
_atom_site_fract_x
_atom_site_fract_y
_atom_site_fract_z
_atom_site_occupancy
Dy1 0.250 0.250 0.075 1
Y1 0.250 0.250 0.630 1
Se1 0.250 0.250 0.412 1
Se2 0.250 0.250 0.810 1
O1 0.250 0.750 0.000 1
# D(E_F) (states/eV per cell): 2.3
# Crystal system: tetragonal
# Volume (Å³/cell): 229.5
# Total magnetization (μB per formula unit): 0.000
# E_tot (eV per cell): -70.188
# E_form (uncorrected) (eV per formula unit): -12.10


Entry 8:
# Sc2NbSe4 PBE optimized geometry
data_Sc2NbSe4
_chemical_formula_sum 'Sc4 Nb2 Se8'
_symmetry_space_group_name_H-M 'C 1 2/m 1'
_symmetry_Int_Tables_number 12
_symmetry_space_group_name_Hall '-C 2y'
_cell_length_a 14.035
_cell_length_b 3.763
_cell_length_c 6.831
_cell_angle_alpha 90.00
_cell_angle_beta 118.93
_cell_angle_gamma 90.00
loop_
_atom_site_label
_atom_site_fract_x
_atom_site_fract_y
_atom_site_fract_z
_atom_site_occupancy
Sc1 0.246 0.000 0.266 1
Nb1 0.000 0.500 0.500 1
Se1 0.117 0.500 0.290 1
Se2 0.126 0.000 0.796 1
# D(E_F) (states/eV per cell): 6.3
# Crystal system: monoclinic
# Volume (Å³/cell): 315.8
# Total magnetization (μB per formula unit): 1.038
# E_tot (eV per cell): -91.792
# E_form (uncorrected) (eV per formula unit): -9.22


Entry 9:
# Ba2MgBeH PBE optimized geometry
data_Ba2MgBeH
_chemical_formula_sum 'Ba2 Mg1 Be1 H1'
_symmetry_space_group_name_H-M 'P 4/m m m'
_symmetry_Int_Tables_number 123
_symmetry_space_group_name_Hall '-P 4 2'
_cell_length_a 6.242
_cell_length_b 6.242
_cell_length_c 4.745
_cell_angle_alpha 90.00
_cell_angle_beta 90.00
_cell_angle_gamma 90.00
loop_
_atom_site_label
_atom_site_fract_x
_atom_site_fract_y
_atom_site_fract_z
_atom_site_occupancy
Ba1 0.000 0.500 0.000 1
Mg1 0.000 0.000 0.500 1
Be1 0.000 0.000 0.000 1
H1 0.500 0.500 0.500 1
# D(E_F) (states/eV per cell): 4.5
# Crystal system: tetragonal
# Volume (Å³/cell): 184.9
# Total magnetization (μB per formula unit): 0.000
# E_tot (eV per cell): -10.423


Entry 10:
# Ac2Np2N7 PBE optimized geometry
data_Ac2Np2N7
_chemical_formula_sum 'Ac4 Np4 N14'
_symmetry_space_group_name_H-M 'C m m m'
_symmetry_Int_Tables_number 65
_symmetry_space_group_name_Hall '-C 2 2'
_cell_length_a 7.182
_cell_length_b 8.123
_cell_length_c 5.736
_cell_angle_alpha 90.00
_cell_angle_beta 90.00
_cell_angle_gamma 90.00
loop_
_atom_site_label
_atom_site_fract_x
_atom_site_fract_y
_atom_site_fract_z
_atom_site_occupancy
Ac1 0.243 0.000 0.000 1
Np1 0.000 0.275 0.500 1
N1 0.000 0.000 0.500 1
N2 0.000 0.500 0.284 1
N3 0.250 0.250 0.281 1
# D(E_F) (states/eV per cell): 11.1
# Crystal system: orthorhombic
# Volume (Å³/cell): 334.6
# Total magnetization (μB per formula unit): 0.000
# E_tot (eV per cell): -201.343
# E_form (uncorrected) (eV per formula unit): -8.30


Entry 11:
# AlFeNi6 PBE optimized geometry
data_AlFeNi6
_chemical_formula_sum 'Al1 Fe1 Ni6'
_symmetry_space_group_name_H-M 'P 4/m m m'
_symmetry_Int_Tables_number 123
_symmetry_space_group_name_Hall '-P 4 2'
_cell_length_a 3.556
_cell_length_b 3.556
_cell_length_c 7.090
_cell_angle_alpha 90.00
_cell_angle_beta 90.00
_cell_angle_gamma 90.00
loop_
_atom_site_label
_atom_site_fract_x
_atom_site_fract_y
_atom_site_fract_z
_atom_site_occupancy
Al1 0.000 0.000 0.000 1
Fe1 0.000 0.000 0.500 1
Ni1 0.000 0.500 0.254 1
Ni2 0.500 0.500 0.000 1
Ni3 0.500 0.500 0.500 1
# D(E_F) (states/eV per cell): 5.7
# Crystal system: tetragonal
# Volume (Å³/cell): 89.7
# Total magnetization (μB per formula unit): 5.534
# Excess energy over the best structure of this formula in the dataset (eV per formula unit): 0.00
# E_tot (eV per cell): -48.972
# Energy of formation from the pure elements (eV per atom): -0.26


Entry 12:
# PmMgAgAs PBE optimized geometry
data_PmMgAgAs
_chemical_formula_sum 'Pm4 Mg4 Ag4 As4'
_symmetry_space_group_name_H-M 'F -4 3 m'
_symmetry_Int_Tables_number 216
_symmetry_space_group_name_Hall 'F -4 2 3'
_cell_length_a 7.128
_cell_length_b 7.128
_cell_length_c 7.128
_cell_angle_alpha 90.00
_cell_angle_beta 90.00
_cell_angle_gamma 90.00
loop_
_atom_site_label
_atom_site_fract_x
_atom_site_fract_y
_atom_site_fract_z
_atom_site_occupancy
Pm1 0.000 0.000 0.000 1
Mg1 0.000 0.000 0.500 1
Ag1 0.250 0.250 0.250 1
As1 0.250 0.250 0.750 1
# D(E_F) (states/eV per cell): 10.6
# Crystal system: cubic
# Volume (Å³/cell): 362.2
# Total magnetization (μB per formula unit): 0.000
# E_tot (eV per cell): -62.759
# Energy of formation from the pure elements (eV per atom): -0.46